Entry 1:
DFT (GGA-PBE) results for CsMnPb2 after structural relaxation.

Properties
Formation enthalpy at 0 K: 0.55 eV/atom
SG: Fm-3m, No. 225
Calculated density: 7.63 Mg/m³
Fermi-level density of states: 2.8 states/eV/cell

Cell and atoms, written as extended XYZ:
```
4
Lattice="0.000 4.031 4.031 4.031 0.000 4.031 4.031 4.031 0.000" Properties=species:S:1:pos:R:3 pbc="T T T"
Cs 0.000 0.000 0.000
Mn 4.031 4.031 4.031
Pb 2.016 2.016 2.016
Pb 6.047 6.047 6.047
```

***

Entry 2:
DFT (GGA-PBE) results for SmBr2 after structural relaxation.

Properties
E_form (uncorrected): -1.687 eV per atom
SG: C222_1, No. 20
Calculated density: 4.87 Mg/m³
Fermi-level density of states: 0.4 states/eV/cell

Cell and atoms, written as extended XYZ:
```
12
Lattice="1.980 -3.429 0.000 1.980 3.429 0.000 0.000 0.000 31.161" Properties=species:S:1:pos:R:3 pbc="T T T"
Sm 0.958 0.006 3.843
Sm 0.958 -0.006 27.318
Sm 3.003 0.006 11.738
Sm 3.003 -0.006 19.424
Br 1.023 1.148 9.844
Br 1.022 1.149 13.632
Br 1.022 -1.149 17.530
Br 1.023 -1.148 21.318
Br 2.938 1.149 1.949
Br 2.937 1.148 5.737
Br 2.937 -1.148 25.424
Br 2.938 -1.149 29.212
```

***

Entry 3:
DFT (GGA-PBE) results for Ho3Tm3Al2 after structural relaxation.

Properties
Formation enthalpy at 0 K: -0.11 eV/atom
SG: Cmcm, No. 63
Calculated density: 8.01 Mg/m³
Fermi-level density of states: 14.9 states/eV/cell

Cell and atoms, written as extended XYZ:
```
16
Lattice="2.540 -5.739 0.000 2.540 5.739 0.000 0.000 0.000 15.005" Properties=species:S:1:pos:R:3 pbc="T T T"
Ho 2.540 5.274 11.253
Ho 2.540 4.026 0.424
Ho 2.540 4.026 7.078
Ho 2.540 -4.026 7.927
Ho 2.540 -4.026 14.580
Ho 2.540 -5.274 3.751
Tm 2.540 2.939 3.751
Tm 2.540 0.439 1.581
Tm 2.540 0.439 5.921
Tm 2.540 -0.439 9.083
Tm 2.540 -0.439 13.424
Tm 2.540 -2.939 11.253
Al 2.540 2.524 9.764
Al 2.540 2.524 12.743
Al 2.540 -2.524 2.262
Al 2.540 -2.524 5.241
```

***

Entry 4:
DFT (GGA-PBE) results for NaNd2Sm after structural relaxation.

Properties
Formation enthalpy at 0 K: 0.09 eV/atom
SG: R3m, No. 160
Calculated density: 5.40 Mg/m³
E above lowest polymorph: 0 meV per atom
Fermi-level density of states: 4.7 states/eV/cell

Cell and atoms, written as extended XYZ:
```
4
Lattice="1.829 1.056 12.264 -1.829 1.056 12.264 0.000 -2.112 12.264" Properties=species:S:1:pos:R:3 pbc="T T T"
Na 0.000 0.000 0.000
Nd 0.000 0.000 15.465
Nd 0.000 0.000 21.318
Sm 0.000 0.000 30.654
```

***

Entry 5:
DFT (GGA-PBE) results for Zr3Pb2S8 after structural relaxation.

Properties
E_form (uncorrected): -1.203 eV per atom
SG: C2/m, No. 12
Calculated density: 4.66 Mg/m³

Cell and atoms, written as extended XYZ:
```
13
Lattice="7.125 -3.786 0.000 7.125 3.786 0.000 -2.029 0.000 6.245" Properties=species:S:1:pos:R:3 pbc="T T T"
Zr 0.000 0.000 0.000
Zr 6.111 1.808 3.123
Zr 6.111 -1.808 3.123
Pb 2.075 0.000 5.233
Pb 10.146 0.000 1.012
S 0.668 0.000 2.487
S 5.371 2.015 0.644
S 6.850 2.015 5.601
S 4.404 0.000 3.437
S 7.818 0.000 2.808
S 5.371 -2.015 0.644
S 6.850 -2.015 5.601
S 11.554 0.000 3.759
```

***

Entry 6:
DFT (GGA-PBE) results for Na2Zr2PaSe6 after structural relaxation.

Properties
E_form (uncorrected): -1.338 eV per atom
SG: C2/m, No. 12
Calculated density: 5.41 Mg/m³
Fermi-level density of states: 7.9 states/eV/cell

Cell and atoms, written as extended XYZ:
```
11
Lattice="3.359 -5.841 0.000 3.359 5.841 0.000 -2.244 0.000 7.296" Properties=species:S:1:pos:R:3 pbc="T T T"
Na 3.359 3.920 0.000
Na 3.359 -3.920 0.000
Zr 2.237 1.957 3.648
Zr 2.237 -1.957 3.648
Pa -1.122 0.000 3.648
Se 0.026 1.981 5.306
Se 1.188 0.000 2.000
Se 0.026 -1.981 5.306
Se 4.449 1.981 1.990
Se 3.286 0.000 5.296
Se 4.449 -1.981 1.990
```

***

Entry 7:
DFT (GGA-PBE) results for IrRu after structural relaxation.

Properties
Formation enthalpy at 0 K: 0.79 eV/atom
SG: P6_3/mmc, No. 194
Calculated density: 14.45 Mg/m³
E above lowest polymorph: 843 meV per atom
Fermi-level density of states: 7.6 states/eV/cell

Cell and atoms, written as extended XYZ:
```
4
Lattice="3.812 0.000 0.000 -1.906 3.301 0.000 0.000 0.000 5.357" Properties=species:S:1:pos:R:3 pbc="T T T"
Ir 0.000 0.000 0.000
Ir 0.000 0.000 2.678
Ru 0.000 2.201 1.339
Ru 1.906 1.100 4.018
```

***

Entry 8:
DFT (GGA-PBE) results for ZnFe2Mo after structural relaxation.

Properties
Formation enthalpy at 0 K: 0.19 eV/atom
SG: Cmmm, No. 65
Calculated density: 8.64 Mg/m³
Fermi-level density of states: 3.7 states/eV/cell

Cell and atoms, written as extended XYZ:
```
4
Lattice="2.697 -3.680 0.000 2.697 3.680 0.000 0.000 0.000 2.644" Properties=species:S:1:pos:R:3 pbc="T T T"
Zn 0.000 0.000 0.000
Fe 1.348 1.840 1.322
Fe 1.348 -1.840 1.322
Mo 2.697 0.000 0.000
```

***

Entry 9:
DFT (GGA-PBE) results for InFeAs2 after structural relaxation.

Properties
Formation enthalpy at 0 K: 0.46 eV/atom
SG: P4/mmm, No. 123
Calculated density: 7.12 Mg/m³
Fermi-level density of states: 4.0 states/eV/cell

Cell and atoms, written as extended XYZ:
```
4
Lattice="4.537 0.000 0.000 0.000 4.537 0.000 0.000 0.000 3.632" Properties=species:S:1:pos:R:3 pbc="T T T"
In 0.000 0.000 0.000
Fe 2.268 2.268 0.000
As 0.000 2.268 1.816
As 2.268 0.000 1.816
```

***

Entry 10:
DFT (GGA-PBE) results for CaY2As after structural relaxation.

Properties
Formation enthalpy at 0 K: -0.54 eV/atom
SG: P4mm, No. 99
Calculated density: 4.09 Mg/m³
Fermi-level density of states: 3.1 states/eV/cell

Cell and atoms, written as extended XYZ:
```
4
Lattice="3.734 0.000 0.000 0.000 3.734 0.000 0.000 0.000 8.529" Properties=species:S:1:pos:R:3 pbc="T T T"
Ca 0.000 0.000 0.000
Y 0.000 0.000 5.310
Y 1.867 1.867 2.919
As 1.867 1.867 6.646
```

***

Entry 11:
DFT (GGA-PBE) results for TlTe2Os after structural relaxation.

Properties
E_form (uncorrected): 1.042 eV per atom
SG: Pmmm, No. 47
Calculated density: 11.64 Mg/m³
E above lowest polymorph: 932 meV per atom
Fermi-level density of states: 4.5 states/eV/cell

Cell and atoms, written as extended XYZ:
```
4
Lattice="3.437 0.000 0.000 0.000 5.024 0.000 0.000 0.000 5.370" Properties=species:S:1:pos:R:3 pbc="T T T"
Tl 0.000 0.000 0.000
Te 0.000 2.512 2.685
Te 1.719 2.512 0.000
Os 1.719 0.000 2.685
```

***

Entry 12:
DFT (GGA-PBE) results for LaFeGe2Os after structural relaxation.

Properties
Formation enthalpy at 0 K: -0.42 eV/atom
SG: I-4m2, No. 119
Calculated density: 9.55 Mg/m³
Fermi-level density of states: 5.5 states/eV/cell

Cell and atoms, written as extended XYZ:
```
5
Lattice="-2.079 2.079 5.330 2.079 -2.079 5.330 2.079 2.079 -5.330" Properties=species:S:1:pos:R:3 pbc="T T T"
La 0.000 0.000 0.000
Fe 0.000 2.079 2.665
Ge 0.000 0.000 3.952
Ge 0.000 0.000 6.707
Os 2.079 0.000 2.665
```

***

Entry 13:
DFT (GGA-PBE) results for Nd3VN4 after structural relaxation.

Properties
E_form (uncorrected): -1.149 eV per atom
SG: Pmn2_1, No. 31
Calculated density: 6.41 Mg/m³
Fermi-level density of states: 7.2 states/eV/cell

Cell and atoms, written as extended XYZ:
```
16
Lattice="7.699 0.000 0.000 0.000 6.872 0.000 0.000 0.000 5.284" Properties=species:S:1:pos:R:3 pbc="T T T"
Nd 0.000 1.021 0.000
Nd 1.894 2.320 2.668
Nd 1.955 4.551 0.026
Nd 3.850 5.851 2.642
Nd 5.744 4.551 0.026
Nd 5.805 2.320 2.668
V 0.000 5.703 2.365
V 3.850 1.169 5.007
N 0.000 0.735 2.662
N 0.000 5.672 0.542
N 1.611 4.803 2.716
N 2.239 2.069 0.074
N 3.850 1.200 3.184
N 3.850 6.137 0.020
N 5.460 2.069 0.074
N 6.088 4.803 2.716
```

***

Entry 14:
DFT (GGA-PBE) results for Tl2CoP after structural relaxation.

Properties
Formation enthalpy at 0 K: 0.19 eV/atom
SG: Imm2, No. 44
Calculated density: 9.23 Mg/m³
E above lowest polymorph: 127 meV per atom
Fermi-level density of states: 2.6 states/eV/cell

Cell and atoms, written as extended XYZ:
```
4
Lattice="-1.579 2.197 6.468 1.579 -2.197 6.468 1.579 2.197 -6.468" Properties=species:S:1:pos:R:3 pbc="T T T"
Tl 0.000 0.000 0.000
Tl 0.000 2.197 2.615
Co 0.000 0.000 5.696
P 1.579 0.000 4.257
```

***

Entry 15:
DFT (GGA-PBE) results for CsTeO2 after structural relaxation.

Properties
E_form (uncorrected): -0.703 eV per atom
SG: R-3m, No. 166
Calculated density: 5.11 Mg/m³
Fermi-level density of states: 1.4 states/eV/cell

Cell and atoms, written as extended XYZ:
```
4
Lattice="1.867 1.078 7.870 -1.867 1.078 7.870 0.000 -2.156 7.870" Properties=species:S:1:pos:R:3 pbc="T T T"
Cs 0.000 0.000 0.000
Te 0.000 0.000 11.805
O 0.000 0.000 9.866
O 0.000 0.000 13.744
```

***

Entry 16:
DFT (GGA-PBE) results for Sm8NiTe4As3 after structural relaxation.

Properties
E_form (uncorrected): -1.331 eV per atom
SG: R-3m, No. 166
Calculated density: 7.27 Mg/m³
Fermi-level density of states: 11.2 states/eV/cell

Cell and atoms, written as extended XYZ:
```
16
Lattice="4.278 2.470 7.195 -4.278 2.470 7.195 0.000 -4.940 7.195" Properties=species:S:1:pos:R:3 pbc="T T T"
Sm 0.000 0.000 5.184
Sm -2.081 -1.201 12.362
Sm 0.000 -2.403 9.224
Sm -2.081 1.201 9.224
Sm 2.081 -1.201 12.362
Sm 0.000 2.403 12.362
Sm 2.081 1.201 9.224
Sm 0.000 0.000 16.402
Ni 0.000 0.000 10.793
Te 0.000 0.000 0.000
Te -2.139 -1.235 7.195
Te -2.139 1.235 14.390
Te 0.000 2.470 7.195
As -4.278 0.000 10.793
As -2.139 1.235 3.598
As 2.139 1.235 3.598
```

***

Entry 17:
DFT (GGA-PBE) results for MgSi2Ag after structural relaxation.

Properties
E_form (uncorrected): 0.197 eV per atom
SG: P4mm, No. 99
Calculated density: 4.50 Mg/m³
Fermi-level density of states: 1.0 states/eV/cell

Cell and atoms, written as extended XYZ:
```
4
Lattice="3.338 0.000 0.000 0.000 3.338 0.000 0.000 0.000 6.233" Properties=species:S:1:pos:R:3 pbc="T T T"
Mg 0.000 0.000 0.000
Si 0.000 0.000 2.828
Si 1.669 1.669 1.820
Ag 1.669 1.669 4.571
```

***

Entry 18:
DFT (GGA-PBE) results for Be4CrPd after structural relaxation.

Properties
Formation enthalpy at 0 K: -0.24 eV/atom
SG: F-43m, No. 216
Calculated density: 5.37 Mg/m³
Fermi-level density of states: 2.3 states/eV/cell

Cell and atoms, written as extended XYZ:
```
6
Lattice="0.000 3.109 3.109 3.109 0.000 3.109 3.109 3.109 0.000" Properties=species:S:1:pos:R:3 pbc="T T T"
Be 0.778 0.778 0.778
Be 2.331 2.331 0.778
Be 2.331 0.778 2.331
Be 0.778 2.331 2.331
Cr 4.664 4.664 4.664
Pd 3.109 3.109 3.109
```

***

Entry 19:
DFT (GGA-PBE) results for NaNd2Si3Pt12 after structural relaxation.

Properties
E_form (uncorrected): -0.430 eV per atom
SG: R-3m, No. 166
Calculated density: 12.89 Mg/m³
Fermi-level density of states: 6.2 states/eV/cell

Cell and atoms, written as extended XYZ:
```
18
Lattice="4.217 2.435 5.724 -4.217 2.435 5.724 0.000 -4.870 5.724" Properties=species:S:1:pos:R:3 pbc="T T T"
Na 0.000 0.000 0.000
Nd 0.000 0.000 6.735
Nd 0.000 0.000 10.438
Si -4.217 0.000 8.587
Si -2.109 1.217 2.862
Si 2.109 1.217 2.862
Pt -2.315 -1.336 8.013
Pt 0.000 -2.336 5.166
Pt -2.023 1.168 5.166
Pt 0.000 -2.673 9.160
Pt -2.315 1.336 9.160
Pt -2.023 -1.168 12.007
Pt 2.023 1.168 5.166
Pt 2.315 -1.336 8.013
Pt 0.000 2.673 8.013
Pt 2.023 -1.168 12.007
Pt 0.000 2.336 12.007
Pt 2.315 1.336 9.160
```

***

Entry 20:
DFT (GGA-PBE) results for GaHgP2O8 after structural relaxation.

Properties
E_form (uncorrected): -1.553 eV per atom
SG: R-3, No. 148
Calculated density: 5.42 Mg/m³
Fermi-level density of states: 9.4 states/eV/cell

Cell and atoms, written as extended XYZ:
```
12
Lattice="2.365 1.365 7.278 -2.365 1.365 7.278 0.000 -2.731 7.278" Properties=species:S:1:pos:R:3 pbc="T T T"
Ga 0.000 0.000 0.000
Hg 0.000 0.000 10.918
P 0.000 0.000 5.612
P 0.000 0.000 16.223
O -1.696 -0.053 8.484
O 0.000 0.000 4.039
O -0.802 -1.495 13.351
O 0.894 -1.442 8.484
O -0.894 1.442 13.351
O 0.802 1.495 8.484
O 0.000 0.000 17.796
O 1.696 0.053 13.351
```

***

Let's list electronic total energy in order: -3.807, -4.375, -4.443, -3.800, -6.286, -5.896, -8.280, -7.066, -4.667, -5.431, -3.928, -7.194, -8.239, -4.125, -4.181, -5.709, -3.626, -5.190, -5.964, -6.037 eV per atom.